Material: AlCu3Ni3
Method: DFT, PBE-GGA
State: relaxed

Summary:
Energy above the most stable polymorph in this dataset: 13.74 kJ per mole of atoms
ΔH_f (0 K): -55.5 meV/atom
SG: Pmmn (59)

a = 2.575 Å, b = 6.790 Å, c = 9.659 Å
α = 90.00°, β = 90.00°, γ = 90.00°
Element x y z (fractional)
Al1 0.250 0.250 0.231
Al2 0.750 0.750 0.769
Cu1 0.250 0.064 0.841
Cu2 0.250 0.436 0.841
Cu3 0.250 0.750 0.360
Cu4 0.750 0.250 0.640
Cu5 0.750 0.564 0.159
Cu6 0.750 0.936 0.159
Ni1 0.250 0.569 0.595
Ni2 0.250 0.750 0.981
Ni3 0.250 0.931 0.595
Ni4 0.750 0.069 0.405
Ni5 0.750 0.250 0.019
Ni6 0.750 0.431 0.405

***

Material: AlCu5Ni2
Method: DFT, PBE-GGA
State: relaxed

Summary:
Energy above the most stable polymorph in this dataset: 8.63 kJ per mole of atoms
ΔH_f (0 K): -69.6 meV/atom
SG: Immm (71)

a = 6.308 Å, b = 6.308 Å, c = 6.308 Å
α = 156.63°, β = 99.65°, γ = 85.09°
Element x y z (fractional)
Al1 0.000 0.000 0.000
Cu1 0.144 0.367 0.777
Cu2 0.409 0.633 0.777
Cu3 0.500 0.000 0.500
Cu4 0.591 0.367 0.223
Cu5 0.856 0.633 0.223
Ni1 0.229 0.729 0.500
Ni2 0.771 0.271 0.500

***

Material: Al3Cu2Ni2
Method: DFT, PBE-GGA
State: relaxed

Summary:
ΔH_f (0 K): -364.9 meV/atom
SG: Cmmm (65)

a = 11.256 Å, b = 11.256 Å, c = 2.797 Å
α = 90.00°, β = 90.00°, γ = 165.31°
Element x y z (fractional)
Al1 0.000 0.000 0.000
Al2 0.132 0.868 0.000
Al3 0.868 0.132 0.000
Cu1 0.296 0.704 0.500
Cu2 0.704 0.296 0.500
Ni1 0.434 0.566 0.500
Ni2 0.566 0.434 0.500

***

Material: Al3Cu2Ni
Method: DFT, PBE-GGA
State: relaxed

Summary:
Energy above the most stable polymorph in this dataset: 1.14 kJ per mole of atoms
ΔH_f (0 K): -333.7 meV/atom
SG: Cmmm (65)

a = 6.492 Å, b = 6.492 Å, c = 4.111 Å
α = 90.00°, β = 90.00°, γ = 153.42°
Element x y z (fractional)
Al1 0.000 0.000 0.000
Al2 0.157 0.843 0.500
Al3 0.843 0.157 0.500
Cu1 0.331 0.669 0.000
Cu2 0.669 0.331 0.000
Ni1 0.500 0.500 0.500

***

Material: Al2CuNi
Method: DFT, PBE-GGA
State: relaxed

Summary:
ΔH_f (0 K): -192.8 meV/atom
SG: C2/m (12)

a = 5.202 Å, b = 5.202 Å, c = 7.277 Å
α = 101.01°, β = 101.01°, γ = 59.06°
Element x y z (fractional)
Al1 0.025 0.025 0.180
Al2 0.043 0.546 0.303
Al3 0.454 0.957 0.697
Al4 0.546 0.043 0.303
Al5 0.957 0.454 0.697
Al6 0.975 0.975 0.820
Cu1 0.437 0.437 0.632
Cu2 0.500 0.500 0.000
Cu3 0.563 0.563 0.368
Ni1 0.000 0.000 0.500
Ni2 0.229 0.229 0.014
Ni3 0.771 0.771 0.986

***

Material: Al3Cu3Ni2
Method: DFT, PBE-GGA
State: relaxed

Summary:
Energy above the most stable polymorph in this dataset: 14.39 kJ per mole of atoms
ΔH_f (0 K): -205.6 meV/atom
SG: P-62m (189)

a = 6.761 Å, b = 6.761 Å, c = 2.658 Å
α = 90.00°, β = 90.00°, γ = 120.00°
Element x y z (fractional)
Al1 0.000 0.713 0.000
Al2 0.287 0.287 0.000
Al3 0.713 0.000 0.000
Cu1 0.000 0.352 0.500
Cu2 0.352 0.000 0.500
Cu3 0.648 0.648 0.500
Ni1 0.333 0.667 0.000
Ni2 0.667 0.333 0.000

***

Material: Al2CuNi4
Method: DFT, PBE-GGA
State: relaxed

Summary:
Energy above the most stable polymorph in this dataset: 25.48 kJ per mole of atoms
ΔH_f (0 K): -123.8 meV/atom
SG: P6_3mc (186)

a = 3.876 Å, b = 3.876 Å, c = 14.207 Å
α = 90.00°, β = 90.00°, γ = 120.00°
Element x y z (fractional)
Al1 0.333 0.667 0.000
Al2 0.333 0.667 0.357
Al3 0.667 0.333 0.500
Al4 0.667 0.333 0.857
Cu1 0.000 0.000 0.111
Cu2 0.000 0.000 0.611
Ni1 0.000 0.000 0.273
Ni2 0.000 0.000 0.439
Ni3 0.000 0.000 0.773
Ni4 0.000 0.000 0.939
Ni5 0.333 0.667 0.183
Ni6 0.333 0.667 0.549
Ni7 0.667 0.333 0.049
Ni8 0.667 0.333 0.683

***

Material: Al2CuNi
Method: DFT, PBE-GGA
State: relaxed

Summary:
ΔH_f (0 K): -168.0 meV/atom
SG: P6_3/mmc (194)

a = 4.118 Å, b = 4.118 Å, c = 7.601 Å
α = 90.00°, β = 90.00°, γ = 120.00°
Element x y z (fractional)
Al1 0.333 0.667 0.086
Al2 0.333 0.667 0.414
Al3 0.667 0.333 0.586
Al4 0.667 0.333 0.914
Cu1 0.000 0.000 0.000
Cu2 0.000 0.000 0.500
Ni1 0.333 0.667 0.750
Ni2 0.667 0.333 0.250

***

Material: Al2CuNi5
Method: DFT, PBE-GGA
State: relaxed

Summary:
Energy above the most stable polymorph in this dataset: 16.39 kJ per mole of atoms
ΔH_f (0 K): -248.0 meV/atom
SG: Immm (71)

a = 6.256 Å, b = 6.256 Å, c = 6.256 Å
α = 156.07°, β = 105.71°, γ = 79.35°
Element x y z (fractional)
Al1 0.247 0.247 0.000
Al2 0.753 0.753 0.000
Cu1 0.000 0.500 0.500
Ni1 0.143 0.872 0.271
Ni2 0.399 0.128 0.271
Ni3 0.500 0.500 0.000
Ni4 0.601 0.872 0.729
Ni5 0.857 0.128 0.729

***

Material: Al2Cu2Ni
Method: DFT, PBE-GGA
State: relaxed

Summary:
Energy above the most stable polymorph in this dataset: 16.32 kJ per mole of atoms
ΔH_f (0 K): -158.4 meV/atom
SG: Pbam (55)

a = 4.710 Å, b = 7.230 Å, c = 3.996 Å
α = 90.00°, β = 90.00°, γ = 90.00°
Element x y z (fractional)
Al1 0.233 0.118 0.000
Al2 0.267 0.618 0.000
Al3 0.733 0.382 0.000
Al4 0.767 0.882 0.000
Cu1 0.043 0.334 0.500
Cu2 0.457 0.834 0.500
Cu3 0.543 0.166 0.500
Cu4 0.957 0.666 0.500
Ni1 0.000 0.000 0.500
Ni2 0.500 0.500 0.500

***

Material: AlCuNi3
Method: DFT, PBE-GGA
State: relaxed

Summary:
Energy above the most stable polymorph in this dataset: 0.00 kJ per mole of atoms
ΔH_f (0 K): -185.2 meV/atom
SG: Pm-3m (221)

a = 5.632 Å, b = 5.632 Å, c = 5.632 Å
α = 90.00°, β = 90.00°, γ = 90.00°
Element x y z (fractional)
Al1 0.000 0.000 0.500
Al2 0.000 0.500 0.000
Al3 0.500 0.000 0.000
Cu1 0.000 0.500 0.500
Cu2 0.500 0.000 0.500
Cu3 0.500 0.500 0.000
Ni1 0.242 0.242 0.242
Ni2 0.242 0.242 0.758
Ni3 0.242 0.758 0.242
Ni4 0.242 0.758 0.758
Ni5 0.500 0.500 0.500
Ni6 0.758 0.242 0.242
Ni7 0.758 0.242 0.758
Ni8 0.758 0.758 0.242
Ni9 0.758 0.758 0.758

***

Material: Al2CuNi
Method: DFT, PBE-GGA
State: relaxed

Summary:
ΔH_f (0 K): -183.9 meV/atom
SG: P-3m1 (164)

a = 3.773 Å, b = 3.773 Å, c = 4.852 Å
α = 90.00°, β = 90.00°, γ = 120.00°
Element x y z (fractional)
Al1 0.333 0.667 0.273
Al2 0.667 0.333 0.727
Cu1 0.000 0.000 0.000
Ni1 0.000 0.000 0.500

***

Material: Al5CuNi2
Method: DFT, PBE-GGA
State: relaxed

Summary:
Energy above the most stable polymorph in this dataset: 8.02 kJ per mole of atoms
ΔH_f (0 K): -220.7 meV/atom
SG: Immm (71)

a = 6.493 Å, b = 6.493 Å, c = 6.493 Å
α = 154.55°, β = 104.85°, γ = 80.84°
Element x y z (fractional)
Al1 0.000 0.000 0.000
Al2 0.101 0.364 0.737
Al3 0.372 0.636 0.737
Al4 0.628 0.364 0.263
Al5 0.899 0.636 0.263
Cu1 0.500 0.000 0.500
Ni1 0.242 0.242 0.000
Ni2 0.758 0.758 0.000

***

Material: Al2Cu4Ni
Method: DFT, PBE-GGA
State: relaxed

Summary:
Energy above the most stable polymorph in this dataset: 20.87 kJ per mole of atoms
ΔH_f (0 K): 89.2 meV/atom
SG: Cmc2_1 (36)

a = 2.648 Å, b = 2.648 Å, c = 30.409 Å
α = 90.00°, β = 90.00°, γ = 119.99°
Element x y z (fractional)
Al1 0.167 0.833 0.500
Al2 0.167 0.833 0.849
Al3 0.833 0.167 0.000
Al4 0.833 0.167 0.349
Cu1 0.167 0.833 0.712
Cu2 0.167 0.833 0.931
Cu3 0.500 0.500 0.068
Cu4 0.500 0.500 0.280
Cu5 0.500 0.500 0.568
Cu6 0.500 0.500 0.780
Cu7 0.833 0.167 0.212
Cu8 0.833 0.167 0.431
Ni1 0.498 0.502 0.146
Ni2 0.502 0.498 0.646

***

Material: Al2CuNi
Method: DFT, PBE-GGA
State: relaxed

Summary:
ΔH_f (0 K): -385.9 meV/atom
SG: Cm (8)

a = 4.665 Å, b = 4.665 Å, c = 4.153 Å
α = 107.67°, β = 107.67°, γ = 36.84°
Element x y z (fractional)
Al1 0.000 0.000 0.000
Al2 0.231 0.231 0.653
Cu1 0.749 0.749 0.168
Ni1 0.493 0.493 0.504

***

Material: AlCu8Ni2
Method: DFT, PBE-GGA
State: relaxed

Summary:
Energy above the most stable polymorph in this dataset: 0.00 kJ per mole of atoms
ΔH_f (0 K): 21.0 meV/atom
SG: P4/mmm (123)

a = 3.609 Å, b = 3.609 Å, c = 10.594 Å
α = 90.00°, β = 90.00°, γ = 90.00°
Element x y z (fractional)
Al1 0.000 0.000 0.000
Cu1 0.000 0.500 0.164
Cu2 0.000 0.500 0.500
Cu3 0.000 0.500 0.836
Cu4 0.500 0.000 0.164
Cu5 0.500 0.000 0.500
Cu6 0.500 0.000 0.836
Cu7 0.500 0.500 0.333
Cu8 0.500 0.500 0.667
Ni1 0.000 0.000 0.330
Ni2 0.000 0.000 0.670

***

Material: Al3Cu2Ni8
Method: DFT, PBE-GGA
State: relaxed

Summary:
ΔH_f (0 K): -61.0 meV/atom
SG: R-3m (166)

a = 9.195 Å, b = 9.195 Å, c = 9.195 Å
α = 29.14°, β = 29.14°, γ = 29.14°
Element x y z (fractional)
Al1 0.000 0.000 0.000
Al2 0.184 0.184 0.184
Al3 0.816 0.816 0.816
Cu1 0.360 0.360 0.360
Cu2 0.640 0.640 0.640
Ni1 0.228 0.730 0.730
Ni2 0.270 0.270 0.772
Ni3 0.270 0.772 0.270
Ni4 0.273 0.273 0.273
Ni5 0.727 0.727 0.727
Ni6 0.730 0.228 0.730
Ni7 0.730 0.730 0.228
Ni8 0.772 0.270 0.270

***

Material: Al2CuNi4
Method: DFT, PBE-GGA
State: relaxed

Summary:
Energy above the most stable polymorph in this dataset: 0.00 kJ per mole of atoms
ΔH_f (0 K): -387.9 meV/atom
SG: P2_1/m (11)

a = 4.443 Å, b = 4.135 Å, c = 9.158 Å
α = 90.00°, β = 103.71°, γ = 90.00°
Element x y z (fractional)
Al1 0.058 0.250 0.421
Al2 0.233 0.750 0.141
Al3 0.767 0.250 0.859
Al4 0.942 0.750 0.579
Cu1 0.483 0.250 0.283
Cu2 0.517 0.750 0.717
Ni1 0.102 0.750 0.859
Ni2 0.187 0.250 0.711
Ni3 0.335 0.250 0.994
Ni4 0.380 0.750 0.430
Ni5 0.620 0.250 0.570
Ni6 0.665 0.750 0.006
Ni7 0.813 0.750 0.289
Ni8 0.898 0.250 0.141

***

Material: Al2Cu4Ni
Method: DFT, PBE-GGA
State: relaxed

Summary:
Energy above the most stable polymorph in this dataset: 0.00 kJ per mole of atoms
ΔH_f (0 K): -127.1 meV/atom
SG: P2_1/m (11)

a = 6.281 Å, b = 3.824 Å, c = 7.624 Å
α = 90.00°, β = 90.22°, γ = 90.00°
Element x y z (fractional)
Al1 0.207 0.250 0.118
Al2 0.243 0.250 0.638
Al3 0.757 0.750 0.362
Al4 0.793 0.750 0.882
Cu1 0.001 0.750 0.614
Cu2 0.214 0.750 0.885
Cu3 0.498 0.250 0.368
Cu4 0.499 0.750 0.115
Cu5 0.501 0.250 0.885
Cu6 0.502 0.750 0.632
Cu7 0.786 0.250 0.115
Cu8 0.999 0.250 0.386
Ni1 0.244 0.750 0.360
Ni2 0.756 0.250 0.640

***

Material: Al4Cu2Ni
Method: DFT, PBE-GGA
State: relaxed

Summary:
Energy above the most stable polymorph in this dataset: 0.00 kJ per mole of atoms
ΔH_f (0 K): -283.0 meV/atom
SG: I4/mmm (139)

a = 5.053 Å, b = 5.053 Å, c = 5.053 Å
α = 109.98°, β = 109.98°, γ = 108.46°
Element x y z (fractional)
Al1 0.000 0.000 0.500
Al2 0.000 0.500 0.000
Al3 0.500 0.000 0.000
Al4 0.500 0.500 0.500
Cu1 0.000 0.500 0.500
Cu2 0.500 0.000 0.500
Ni1 0.000 0.000 0.000

***

Material: Al2CuNi4
Method: DFT, PBE-GGA
State: relaxed

Summary:
Energy above the most stable polymorph in this dataset: 46.83 kJ per mole of atoms
ΔH_f (0 K): 97.5 meV/atom
SG: I4/mmm (139)

a = 5.761 Å, b = 5.761 Å, c = 5.761 Å
α = 134.94°, β = 134.94°, γ = 65.63°
Element x y z (fractional)
Al1 0.140 0.140 0.000
Al2 0.860 0.860 0.000
Cu1 0.500 0.500 0.000
Ni1 0.000 0.500 0.500
Ni2 0.250 0.750 0.500
Ni3 0.500 0.000 0.500
Ni4 0.750 0.250 0.500

***

Material: Al4CuNi5
Method: DFT, PBE-GGA
State: relaxed

Summary:
ΔH_f (0 K): -533.9 meV/atom
SG: P4/mmm (123)

a = 2.922 Å, b = 2.922 Å, c = 13.964 Å
α = 90.00°, β = 90.00°, γ = 90.00°
Element x y z (fractional)
Al1 0.000 0.000 0.101
Al2 0.000 0.000 0.305
Al3 0.000 0.000 0.695
Al4 0.000 0.000 0.899
Cu1 0.000 0.000 0.500
Ni1 0.500 0.500 0.000
Ni2 0.500 0.500 0.203
Ni3 0.500 0.500 0.401
Ni4 0.500 0.500 0.599
Ni5 0.500 0.500 0.797

***

Material: Al2Cu2Ni
Method: DFT, PBE-GGA
State: relaxed

Summary:
Energy above the most stable polymorph in this dataset: 53.77 kJ per mole of atoms
ΔH_f (0 K): 229.8 meV/atom
SG: I4/mmm (139)

a = 5.974 Å, b = 5.974 Å, c = 5.974 Å
α = 143.99°, β = 143.99°, γ = 51.84°
Element x y z (fractional)
Al1 0.250 0.750 0.500
Al2 0.750 0.250 0.500
Cu1 0.104 0.104 0.000
Cu2 0.896 0.896 0.000
Ni1 0.500 0.500 0.000